# 1
Below is a geometry-optimized BaNi8As4 structure, with properties calculated at the GGA-PBE level.

**Total energy**: -70.78 eV per formula unit
**Total magnetization**: 0.01 μB/f.u.

Lattice parameters (Å, degrees): 7.495 7.495 7.495 93.56 93.56 151.13
Sites, in units of the cell vectors:
Ni: 0.626 0.015 0.641
Ni: 0.658 0.772 0.431
Ni: 0.228 0.658 0.886
Ni: 0.772 0.342 0.114
Ni: 0.342 0.228 0.569
Ni: 0.985 0.626 0.611
Ni: 0.374 0.985 0.359
Ni: 0.015 0.374 0.389
As: 0.234 0.423 0.658
As: 0.766 0.577 0.342
As: 0.577 0.234 0.811
As: 0.423 0.766 0.189
Ba: 0.000 0.000 0.000

---

# 2
Below is a geometry-optimized LaSmCl2O2 structure, with properties calculated at the GGA-PBE level.

**Total energy**: -41.88 eV per formula unit
**Total magnetization**: 0.00 μB/f.u.

Lattice parameters (Å, degrees): 4.054 4.054 6.834 90.00 90.00 90.00
Sites, in units of the cell vectors:
La: 0.000 0.000 0.826
Cl: 0.500 0.500 0.623
Cl: 0.000 0.000 0.368
O: 0.500 0.000 0.005
O: 0.000 0.500 0.005
Sm: 0.500 0.500 0.173

---

# 3
Below is a geometry-optimized Lu2AlAg structure, with properties calculated at the GGA-PBE level.

**Total energy**: -15.71 eV per formula unit
**Total magnetization**: 0.01 μB/f.u.

Lattice parameters (Å, degrees): 5.009 5.009 5.009 60.00 60.00 60.00
Sites, in units of the cell vectors:
Al: 0.500 0.500 0.500
Lu: 0.750 0.750 0.750
Lu: 0.000 0.000 0.000
Ag: 0.250 0.250 0.250

---

# 4
Below is a geometry-optimized NbNiPbAu structure, with properties calculated at the GGA-PBE level.

**Total energy**: -21.50 eV per formula unit
**Total magnetization**: 0.23 μB/f.u.

Lattice parameters (Å, degrees): 4.667 4.667 4.667 60.00 60.00 60.00
Sites, in units of the cell vectors:
Nb: 0.250 0.250 0.250
Au: 0.500 0.500 0.500
Pb: 0.000 0.000 0.000
Ni: 0.750 0.750 0.750

---

# 5
Below is a geometry-optimized Cs2IrCl6 structure, with properties calculated at the GGA-PBE level.

**Total energy**: -32.32 eV per formula unit
**Total magnetization**: 1.00 μB/f.u.

Lattice parameters (Å, degrees): 7.160 7.160 5.980 90.00 90.00 120.00
Last column: magnetic moment on the atom in μB.
Sites, in units of the cell vectors:
Cl: 0.155 0.311 0.724  0.04
Cl: 0.155 0.845 0.724  0.04
Cl: 0.845 0.689 0.276  0.04
Cl: 0.311 0.155 0.276  0.06
Cl: 0.689 0.845 0.724  0.06
Cl: 0.845 0.155 0.276  0.04
Ir: 0.000 0.000 0.500  0.58
Cs: 0.333 0.667 0.239  0.00
Cs: 0.667 0.333 0.761  0.00

---

# 6
Below is a geometry-optimized Lu4Si3Mo2N3 structure, with properties calculated at the GGA-PBE level.

**Total energy**: -92.19 eV per formula unit
**Total magnetization**: 0.00 μB/f.u.

Lattice parameters (Å, degrees): 5.671 5.671 13.506 78.08 78.08 60.10
Sites, in units of the cell vectors:
Lu: 0.703 0.863 0.899
Lu: 0.968 0.796 0.101
Lu: 0.297 0.137 0.101
Lu: 0.796 0.968 0.601
Lu: 0.137 0.297 0.601
Lu: 0.204 0.032 0.399
Lu: 0.863 0.703 0.399
Lu: 0.032 0.204 0.899
Si: 0.840 0.160 0.250
Si: 0.329 0.415 0.250
Si: 0.160 0.840 0.750
Si: 0.415 0.329 0.750
Si: 0.671 0.585 0.750
Si: 0.585 0.671 0.250
Mo: 0.472 0.630 0.586
Mo: 0.630 0.472 0.086
Mo: 0.528 0.370 0.414
Mo: 0.370 0.528 0.914
N: 0.670 0.160 0.000
N: 0.330 0.840 0.000
N: 0.500 0.000 0.500
N: 0.000 0.500 0.000
N: 0.160 0.670 0.500
N: 0.840 0.330 0.500

---

# 7
Below is a geometry-optimized FeSiPd structure, with properties calculated at the GGA-PBE level.

**Total energy**: -20.12 eV per formula unit
**Total magnetization**: 1.68 μB/f.u.

Lattice parameters (Å, degrees): 5.990 5.990 3.772 90.00 90.00 120.00
Last column: magnetic moment on the atom in μB.
Sites, in units of the cell vectors:
Pd: 0.588 0.000 0.500  0.04
Pd: 0.412 0.412 0.500  0.05
Pd: 0.000 0.588 0.500  0.06
Fe: 0.758 0.758 0.000  1.65
Fe: 0.000 0.242 0.000  1.88
Fe: 0.242 0.000 0.000  1.70
Si: 0.333 0.667 0.000  -0.07
Si: 0.667 0.333 0.000  -0.07
Si: 0.000 0.000 0.500  -0.06

---

# 8
Below is a geometry-optimized LuTe structure, with properties calculated at the GGA-PBE level.

**Total energy**: -9.09 eV per formula unit
**Total magnetization**: 0.01 μB/f.u.

Lattice parameters (Å, degrees): 4.748 4.748 4.748 60.00 60.00 60.00
Sites, in units of the cell vectors:
Lu: 0.000 0.000 0.000
Te: 0.250 0.250 0.250